{"formula": "ErCd2Au", "functional": "PBE", "state": "relaxed", "lattice": [[3.205, 0.000, 0.000], [-1.603, 2.776, 0.000], [0.000, 0.000, 32.439]], "species": ["Er", "Er", "Er", "Cd", "Cd", "Cd", "Cd", "Cd", "Cd", "Au", "Au", "Au"], "fractional_positions": [[0.000, 0.000, 0.000], [0.333, 0.667, 0.667], [0.667, 0.333, 0.333], [0.000, 0.000, 0.096], [0.000, 0.000, 0.904], [0.333, 0.667, 0.571], [0.333, 0.667, 0.762], [0.667, 0.333, 0.238], [0.667, 0.333, 0.429], [0.000, 0.000, 0.500], [0.333, 0.667, 0.167], [0.667, 0.333, 0.833]]}



{"formula": "Er6Cd2Au", "functional": "PBE", "state": "relaxed", "lattice": [[6.151, 0.000, 0.000], [0.000, 9.075, 0.000], [-5.049, 0.000, 9.005]], "species": ["Er", "Er", "Er", "Er", "Er", "Er", "Er", "Er", "Er", "Er", "Er", "Er", "Cd", "Cd", "Cd", "Cd", "Au", "Au"], "fractional_positions": [[0.051, 0.177, 0.455], [0.051, 0.323, 0.955], [0.358, 0.678, 0.445], [0.358, 0.822, 0.945], [0.408, 0.031, 0.300], [0.408, 0.469, 0.800], [0.592, 0.531, 0.200], [0.592, 0.969, 0.700], [0.642, 0.178, 0.055], [0.642, 0.322, 0.555], [0.949, 0.677, 0.045], [0.949, 0.823, 0.545], [0.145, 0.113, 0.758], [0.145, 0.387, 0.258], [0.855, 0.613, 0.742], [0.855, 0.887, 0.242], [0.000, 0.000, 0.000], [0.000, 0.500, 0.500]]}



{"formula": "Er3CdAu2", "functional": "PBE", "state": "relaxed", "lattice": [[3.630, 0.000, 0.000], [0.000, 3.630, 0.000], [0.000, 0.000, 10.753]], "species": ["Er", "Er", "Er", "Cd", "Au", "Au"], "fractional_positions": [[0.000, 0.000, 0.000], [0.000, 0.000, 0.322], [0.000, 0.000, 0.678], [0.500, 0.500, 0.500], [0.500, 0.500, 0.167], [0.500, 0.500, 0.833]]}



{"formula": "ErCd2Au", "functional": "PBE", "state": "relaxed", "lattice": [[4.678, 0.000, 0.000], [0.000, 4.678, 0.000], [0.000, 0.000, 16.465]], "species": ["Er", "Er", "Er", "Er", "Cd", "Cd", "Cd", "Cd", "Cd", "Cd", "Cd", "Cd", "Au", "Au", "Au", "Au"], "fractional_positions": [[0.000, 0.000, 0.141], [0.000, 0.000, 0.859], [0.500, 0.500, 0.359], [0.500, 0.500, 0.641], [0.000, 0.000, 0.372], [0.000, 0.000, 0.628], [0.000, 0.500, 0.000], [0.000, 0.500, 0.500], [0.500, 0.000, 0.000], [0.500, 0.000, 0.500], [0.500, 0.500, 0.128], [0.500, 0.500, 0.872], [0.000, 0.500, 0.250], [0.000, 0.500, 0.750], [0.500, 0.000, 0.250], [0.500, 0.000, 0.750]]}



{"formula": "Er2Cd3Au3", "functional": "PBE", "state": "relaxed", "lattice": [[2.474, 1.428, 8.042], [-2.474, 1.428, 8.042], [0.000, -2.857, 8.042]], "species": ["Er", "Er", "Cd", "Cd", "Cd", "Au", "Au", "Au"], "fractional_positions": [[0.000, 0.000, 0.000], [0.489, 0.489, 0.489], [0.247, 0.247, 0.247], [0.743, 0.743, 0.743], [0.871, 0.871, 0.871], [0.125, 0.125, 0.125], [0.367, 0.367, 0.367], [0.616, 0.616, 0.616]]}



{"formula": "Er3Cd2Au", "functional": "PBE", "state": "relaxed", "polymorph_energy_kj_per_mol_fu": 0, "lattice": [[3.650, 0.000, 0.000], [0.000, 3.650, 0.000], [0.000, 0.000, 11.058]], "species": ["Er", "Er", "Er", "Cd", "Cd", "Au"], "fractional_positions": [[0.000, 0.000, 0.000], [0.000, 0.000, 0.345], [0.000, 0.000, 0.655], [0.500, 0.500, 0.168], [0.500, 0.500, 0.832], [0.500, 0.500, 0.500]]}



{"formula": "ErCd2Au", "functional": "PBE", "state": "relaxed", "lattice": [[4.285, 0.000, 0.000], [0.000, 4.285, 0.000], [0.000, 0.000, 4.906]], "species": ["Er", "Cd", "Cd", "Au"], "fractional_positions": [[0.000, 0.000, 0.000], [0.000, 0.500, 0.500], [0.500, 0.000, 0.500], [0.500, 0.500, 0.000]]}



{"formula": "Er2Cd3Au2", "functional": "PBE", "state": "relaxed", "lattice": [[10.517, 0.000, 0.000], [0.000, 3.939, 0.000], [-0.680, 0.000, 7.816]], "species": ["Er", "Er", "Er", "Er", "Cd", "Cd", "Cd", "Cd", "Cd", "Cd", "Au", "Au", "Au", "Au"], "fractional_positions": [[0.119, 0.000, 0.345], [0.381, 0.500, 0.655], [0.619, 0.500, 0.345], [0.881, 0.000, 0.655], [0.000, 0.500, 0.000], [0.194, 0.000, 0.874], [0.306, 0.500, 0.126], [0.500, 0.000, 0.000], [0.694, 0.500, 0.874], [0.806, 0.000, 0.126], [0.101, 0.500, 0.630], [0.399, 0.000, 0.370], [0.601, 0.000, 0.630], [0.899, 0.500, 0.370]]}



{"formula": "Er5Cd2Au2", "functional": "PBE", "state": "relaxed", "lattice": [[8.535, -3.730, 0.000], [8.535, 3.730, 0.000], [0.000, 0.000, 7.374]], "species": ["Er", "Er", "Er", "Er", "Er", "Er", "Er", "Er", "Er", "Er", "Cd", "Cd", "Cd", "Cd", "Au", "Au", "Au", "Au"], "fractional_positions": [[0.000, 0.000, 0.000], [0.049, 0.691, 0.673], [0.191, 0.549, 0.173], [0.309, 0.951, 0.673], [0.451, 0.809, 0.173], [0.500, 0.500, 0.500], [0.549, 0.191, 0.827], [0.691, 0.049, 0.327], [0.809, 0.451, 0.827], [0.951, 0.309, 0.327], [0.222, 0.222, 0.000], [0.278, 0.278, 0.500], [0.722, 0.722, 0.500], [0.778, 0.778, 0.000], [0.135, 0.865, 0.367], [0.365, 0.635, 0.867], [0.635, 0.365, 0.133], [0.865, 0.135, 0.633]]}



{"formula": "Er5Cd4Au", "functional": "PBE", "state": "relaxed", "lattice": [[3.676, 0.000, 0.000], [0.000, 3.676, 0.000], [0.000, 0.000, 18.465]], "species": ["Er", "Er", "Er", "Er", "Er", "Cd", "Cd", "Cd", "Cd", "Au"], "fractional_positions": [[0.000, 0.000, 0.000], [0.000, 0.000, 0.204], [0.000, 0.000, 0.408], [0.000, 0.000, 0.592], [0.000, 0.000, 0.796], [0.500, 0.500, 0.102], [0.500, 0.500, 0.303], [0.500, 0.500, 0.697], [0.500, 0.500, 0.898], [0.500, 0.500, 0.500]]}



{"formula": "Er7Cd2Au2", "functional": "PBE", "state": "relaxed", "lattice": [[3.993, -5.512, 0.000], [3.993, 5.512, 0.000], [0.000, 0.000, 7.255]], "species": ["Er", "Er", "Er", "Er", "Er", "Er", "Er", "Cd", "Cd", "Au", "Au"], "fractional_positions": [[0.000, 0.000, 0.000], [0.000, 0.500, 0.266], [0.000, 0.500, 0.734], [0.500, 0.000, 0.266], [0.500, 0.000, 0.734], [0.500, 0.500, 0.255], [0.500, 0.500, 0.745], [0.175, 0.175, 0.500], [0.825, 0.825, 0.500], [0.294, 0.706, 0.000], [0.706, 0.294, 0.000]]}



{"formula": "Er2CdAu3", "functional": "PBE", "state": "relaxed", "polymorph_energy_kj_per_mol_fu": 0, "lattice": [[4.961, 0.000, 0.000], [-2.481, 4.297, 0.000], [0.000, 0.000, 12.157]], "species": ["Er", "Er", "Er", "Er", "Cd", "Cd", "Au", "Au", "Au", "Au", "Au", "Au"], "fractional_positions": [[0.000, 0.000, 0.000], [0.000, 0.000, 0.500], [0.333, 0.667, 0.182], [0.667, 0.333, 0.818], [0.333, 0.667, 0.669], [0.667, 0.333, 0.331], [0.000, 0.000, 0.246], [0.000, 0.000, 0.754], [0.333, 0.667, 0.424], [0.333, 0.667, 0.931], [0.667, 0.333, 0.069], [0.667, 0.333, 0.576]]}



{"formula": "Er4CdAu7", "functional": "PBE", "state": "relaxed", "lattice": [[7.091, -2.603, 0.000], [7.091, 2.603, 0.000], [-4.917, 0.000, 7.366]], "species": ["Er", "Er", "Er", "Er", "Cd", "Au", "Au", "Au", "Au", "Au", "Au", "Au"], "fractional_positions": [[0.062, 0.062, 0.239], [0.241, 0.241, 0.757], [0.759, 0.759, 0.243], [0.938, 0.938, 0.761], [0.500, 0.500, 0.500], [0.000, 0.000, 0.500], [0.189, 0.189, 0.055], [0.305, 0.305, 0.503], [0.439, 0.439, 0.126], [0.561, 0.561, 0.874], [0.695, 0.695, 0.497], [0.811, 0.811, 0.945]]}



{"formula": "ErCdAu3", "functional": "PBE", "state": "relaxed", "lattice": [[5.216, 0.000, 0.000], [-0.442, 5.699, 0.000], [-0.615, -1.050, 7.102]], "species": ["Er", "Er", "Cd", "Cd", "Au", "Au", "Au", "Au", "Au", "Au"], "fractional_positions": [[0.000, 0.000, 0.000], [0.340, 0.512, 0.688], [0.275, 0.978, 0.427], [0.552, 0.304, 0.195], [0.089, 0.489, 0.284], [0.477, 0.045, 0.804], [0.478, 0.761, 0.098], [0.825, 0.221, 0.534], [0.845, 0.750, 0.599], [0.861, 0.479, 0.908]]}



{"formula": "Er3Cd2Au3", "functional": "PBE", "state": "relaxed", "polymorph_energy_kj_per_mol_fu": 24, "lattice": [[3.609, 0.000, 0.000], [0.000, 5.014, 0.000], [0.000, 0.000, 20.085]], "species": ["Er", "Er", "Er", "Er", "Er", "Er", "Cd", "Cd", "Cd", "Cd", "Au", "Au", "Au", "Au", "Au", "Au"], "fractional_positions": [[0.000, 0.000, 0.000], [0.000, 0.500, 0.126], [0.000, 0.500, 0.874], [0.500, 0.000, 0.374], [0.500, 0.000, 0.626], [0.500, 0.500, 0.500], [0.000, 0.000, 0.238], [0.000, 0.000, 0.762], [0.500, 0.500, 0.262], [0.500, 0.500, 0.738], [0.000, 0.000, 0.500], [0.000, 0.500, 0.381], [0.000, 0.500, 0.619], [0.500, 0.000, 0.119], [0.500, 0.000, 0.881], [0.500, 0.500, 0.000]]}



{"formula": "Er2CdAu4", "functional": "PBE", "state": "relaxed", "lattice": [[8.485, 0.000, 0.000], [0.000, 5.159, 0.000], [-3.904, 0.000, 6.868]], "species": ["Er", "Er", "Er", "Er", "Cd", "Cd", "Au", "Au", "Au", "Au", "Au", "Au", "Au", "Au"], "fractional_positions": [[0.056, 0.000, 0.266], [0.444, 0.500, 0.734], [0.556, 0.500, 0.266], [0.944, 0.000, 0.734], [0.000, 0.500, 0.500], [0.500, 0.000, 0.500], [0.184, 0.500, 0.905], [0.226, 0.500, 0.293], [0.274, 0.000, 0.707], [0.316, 0.000, 0.095], [0.684, 0.000, 0.905], [0.726, 0.000, 0.293], [0.774, 0.500, 0.707], [0.816, 0.500, 0.095]]}



{"formula": "Er2Cd2Au", "functional": "PBE", "state": "relaxed", "lattice": [[3.508, 0.000, 0.000], [0.000, 20.605, 0.000], [0.000, 0.000, 3.432]], "species": ["Er", "Er", "Er", "Er", "Cd", "Cd", "Cd", "Cd", "Au", "Au"], "fractional_positions": [[0.000, 0.089, 0.000], [0.000, 0.911, 0.000], [0.500, 0.411, 0.000], [0.500, 0.589, 0.000], [0.000, 0.307, 0.500], [0.000, 0.693, 0.500], [0.500, 0.193, 0.500], [0.500, 0.807, 0.500], [0.000, 0.500, 0.500], [0.500, 0.000, 0.500]]}



{"formula": "ErCd2Au2", "functional": "PBE", "state": "relaxed", "lattice": [[4.840, 0.000, 0.000], [0.000, 4.794, 0.000], [-0.361, 0.000, 10.049]], "species": ["Er", "Er", "Cd", "Cd", "Cd", "Cd", "Au", "Au", "Au", "Au"], "fractional_positions": [[0.237, 0.250, 0.325], [0.763, 0.750, 0.675], [0.256, 0.250, 0.680], [0.270, 0.250, 0.992], [0.730, 0.750, 0.008], [0.744, 0.750, 0.320], [0.237, 0.750, 0.159], [0.252, 0.750, 0.511], [0.748, 0.250, 0.489], [0.763, 0.250, 0.841]]}



{"formula": "ErCd2Au6", "functional": "PBE", "state": "relaxed", "lattice": [[6.792, -5.216, 0.000], [6.792, 5.216, 0.000], [-0.969, 0.000, 5.047]], "species": ["Er", "Er", "Cd", "Cd", "Cd", "Cd", "Au", "Au", "Au", "Au", "Au", "Au", "Au", "Au", "Au", "Au", "Au", "Au"], "fractional_positions": [[0.135, 0.865, 0.750], [0.865, 0.135, 0.250], [0.203, 0.464, 0.914], [0.464, 0.203, 0.414], [0.536, 0.797, 0.586], [0.797, 0.536, 0.086], [0.002, 0.775, 0.196], [0.099, 0.354, 0.362], [0.225, 0.998, 0.304], [0.325, 0.566, 0.467], [0.354, 0.099, 0.862], [0.434, 0.675, 0.033], [0.566, 0.325, 0.967], [0.646, 0.901, 0.138], [0.675, 0.434, 0.533], [0.775, 0.002, 0.696], [0.901, 0.646, 0.638], [0.998, 0.225, 0.804]]}



{"formula": "Er4Cd5Au2", "functional": "PBE", "state": "relaxed", "lattice": [[7.696, 0.000, 0.000], [0.000, 3.508, 0.000], [-0.709, 0.000, 9.900]], "species": ["Er", "Er", "Er", "Er", "Cd", "Cd", "Cd", "Cd", "Cd", "Au", "Au"], "fractional_positions": [[0.167, 0.000, 0.368], [0.243, 0.000, 0.946], [0.757, 0.000, 0.054], [0.833, 0.000, 0.632], [0.190, 0.500, 0.653], [0.453, 0.500, 0.192], [0.500, 0.500, 0.500], [0.547, 0.500, 0.808], [0.810, 0.500, 0.347], [0.067, 0.500, 0.140], [0.933, 0.500, 0.860]]}



{"formula": "Er2CdAu6", "functional": "PBE", "state": "relaxed", "polymorph_energy_kj_per_mol_fu": 0, "lattice": [[2.598, -7.871, 0.000], [2.598, 7.871, 0.000], [-2.581, 0.000, 4.493]], "species": ["Er", "Er", "Cd", "Au", "Au", "Au", "Au", "Au", "Au"], "fractional_positions": [[0.161, 0.839, 0.000], [0.839, 0.161, 0.000], [0.000, 0.000, 0.500], [0.165, 0.506, 0.674], [0.341, 0.341, 0.176], [0.494, 0.835, 0.326], [0.506, 0.165, 0.674], [0.659, 0.659, 0.824], [0.835, 0.494, 0.326]]}



{"formula": "ErCd3Au2", "functional": "PBE", "state": "relaxed", "lattice": [[4.869, 0.000, 0.000], [2.432, 7.074, 0.000], [0.024, 1.740, 7.772]], "species": ["Er", "Er", "Cd", "Cd", "Cd", "Cd", "Cd", "Cd", "Au", "Au", "Au", "Au"], "fractional_positions": [[0.142, 0.216, 0.253], [0.858, 0.784, 0.747], [0.091, 0.317, 0.809], [0.313, 0.872, 0.994], [0.393, 0.714, 0.435], [0.607, 0.286, 0.565], [0.687, 0.128, 0.006], [0.909, 0.683, 0.191], [0.238, 0.025, 0.615], [0.479, 0.541, 0.810], [0.521, 0.459, 0.190], [0.762, 0.975, 0.385]]}



no.,total energy (eV per cell),D(E_F) (states/eV/f.u.),formation energy from the elements (eV/atom)
1,-27.62,2.0,0.116
2,-68.67,11.4,-0.206
3,-25.32,3.7,-0.694
4,-45.88,2.5,-0.450
5,-26.24,3.9,-0.568
6,-21.85,4.4,-0.508
7,-11.23,1.9,-0.390
8,-43.85,2.8,-0.500
9,-70.78,8.1,-0.466
10,-34.05,8.5,-0.429
11,-42.94,10.9,-0.238
12,-48.70,2.5,-0.746
13,-49.73,7.3,-0.635
14,-35.81,2.0,-0.519
15,-60.95,4.4,-0.640
16,-55.61,2.8,-0.665
17,-32.66,2.9,-0.419
18,-30.48,3.2,-0.459
19,-58.46,3.5,-0.353
20,-34.45,6.0,-0.461
21,-35.13,4.8,-0.603
22,-32.14,2.5,-0.368